Entry from Alexandria via LeMat-Bulk: YCr2Cu after structural relaxation (PBEsol).

Cell: 3.3628 4.2681 4.6384 Å, 90.00 90.00 95.86°
Last column: nearest neighbours and their distance in Å.
Fractional coordinates of all 4 atoms:
Cr 0.9152 0.7781 0.0000  1 Cr 1.92
Cr 0.0848 0.2219 0.0000  1 Cr 1.92
Cu 0.0000 0.5000 0.5000  4 Y 2.58-2.85, 4 Cr 2.63
Y 0.5000 0.0000 0.5000  4 Cu 2.58-2.85

## Properties
DOS at the Fermi energy ... 4.5 states/eV/cell
Energy of formation ... 2.61 eV per formula unit
Uncorrected energy ... -7.26 eV/atom
ΔE to the lowest computed polymorph ... 3 meV/atom